(1)
## BaMn2Pt (PBE)

Data for crystalline BaMn2Pt at its relaxed geometry.

Values from the calculation:
crystal system: tetragonal
calculated formation energy: 0.48 eV/atom

Cell: 4.586 4.320 4.320 Å, 90.00 90.00 90.00°
Last column: magnetic moment on the atom in μB.
Sites, in units of the cell vectors:
Mn1 0.000 0.000 0.000  3.69
Mn2 0.000 0.500 0.500  3.69
Pt1 0.500 0.500 0.000  0.03
Ba1 0.500 0.000 0.500  -0.06



(2)
## CsTl2CdF6 (PBE)

Data for crystalline CsTl2CdF6 at its relaxed geometry.

Values from the calculation:
crystal system: monoclinic

Cell: 6.321 7.103 9.154 Å, 90.00 89.92 90.00°
Sites, in units of the cell vectors:
Cs1 0.500 0.000 0.000
Cs2 0.000 0.500 0.500
F1 0.659 0.189 0.674
F2 0.821 0.867 0.501
F3 0.321 0.633 0.001
F4 0.159 0.311 0.174
F5 0.341 0.811 0.326
F6 0.841 0.689 0.826
F7 0.179 0.133 0.499
F8 0.841 0.683 0.179
F9 0.659 0.183 0.321
F10 0.679 0.367 0.999
F11 0.341 0.817 0.679
F12 0.159 0.317 0.821
Cd1 0.000 0.500 0.000
Cd2 0.500 0.000 0.500
Tl1 0.501 0.502 0.776
Tl2 0.999 0.002 0.724
Tl3 0.001 0.998 0.276
Tl4 0.499 0.498 0.224



(3)
## HfPa2Al (PBE)

Data for crystalline HfPa2Al at its relaxed geometry.

Values from the calculation:
relative energy among the computed polymorphs: 0 meV/atom
crystal system: tetragonal
calculated formation energy: -0.13 eV/atom

Cell: 4.809 4.307 4.307 Å, 90.00 90.00 90.00°
Sites, in units of the cell vectors:
Pa1 0.000 0.500 0.000
Pa2 0.000 0.000 0.500
Hf1 0.500 0.000 0.000
Al1 0.500 0.500 0.500



(4)
## ZnCuI2 (PBE)

Data for crystalline ZnCuI2 at its relaxed geometry.

Values from the calculation:
relative energy among the computed polymorphs: 0 meV/atom
crystal system: tetragonal

Cell: 6.590 6.590 7.812 Å, 65.05 65.05 90.00°
Sites, in units of the cell vectors:
Cu1 0.500 0.500 0.000
Cu2 0.250 0.750 0.500
Zn1 0.000 0.000 0.000
Zn2 0.750 0.250 0.500
I1 0.875 0.831 0.750
I2 0.375 0.419 0.750
I3 0.581 0.125 0.250
I4 0.169 0.625 0.250



(5)
## La11Tb9Er4 (PBE)

Data for crystalline La11Tb9Er4 at its relaxed geometry.

Values from the calculation:
crystal system: orthorhombic
calculated formation energy: 0.07 eV/atom

Cell: 3.697 15.612 15.612 Å, 112.98 90.00 90.00°
Sites, in units of the cell vectors:
La1 0.000 0.369 0.631
La2 0.000 0.840 0.160
La3 0.000 0.957 0.596
La4 0.000 0.596 0.957
La5 0.000 0.631 0.369
La6 0.000 0.160 0.840
La7 0.000 0.000 0.000
La8 0.000 0.043 0.404
La9 0.000 0.706 0.706
La10 0.000 0.294 0.294
La11 0.000 0.404 0.043
Tb1 0.500 0.930 0.786
Tb2 0.500 0.631 0.166
Tb3 0.500 0.369 0.834
Tb4 0.500 0.166 0.631
Tb5 0.500 0.214 0.070
Tb6 0.500 0.786 0.930
Tb7 0.500 0.070 0.214
Tb8 0.500 0.500 0.500
Tb9 0.500 0.834 0.369
Er1 0.500 0.555 0.759
Er2 0.500 0.759 0.555
Er3 0.500 0.445 0.241
Er4 0.500 0.241 0.445



(6)
## K2MgNi (PBE)

Data for crystalline K2MgNi at its relaxed geometry.

Values from the calculation:
crystal system: orthorhombic
calculated formation energy: 0.64 eV/atom

Cell: 8.237 4.871 5.151 Å, 90.00 51.30 120.99°
Last column: magnetic moment on the atom in μB.
Sites, in units of the cell vectors:
K1 0.500 0.000 0.500  0.00
K2 0.000 0.000 0.000  0.00
Ni1 0.500 0.500 0.000  0.15
Mg1 0.000 0.500 0.500  0.00



Number 1: energy -6.0966 eV per atom. Number 2: energy -3.8286 eV per atom. Number 3: energy -8.2985 eV per atom. Number 4: energy -2.1042 eV per atom. Number 5: energy -4.6876 eV per atom. Number 6: energy -1.7563 eV per atom.